Here is CuTcTe2I at its PBEsol-relaxed geometry from the Alexandria database. Energies are from meta-GGA SCAN.

ΔE_f (raw) (eV per atom): 0.98
Symmetry: P4/mmm, No. 123

Cell lengths 5.0828, 5.0828, 5.1641 Å; angles 90.00, 90.00, 90.00 degrees
Positions (direct):
I (0.0000, 0.0000, 0.5000)
Te (0.0000, 0.5000, 0.0000)
Te (0.5000, 0.0000, 0.0000)
Tc (0.5000, 0.5000, 0.5000)
Cu (0.0000, 0.0000, 0.0000)